The following is a PBE-GGA calculation of Pm5Nd6Tm after structural relaxation, from Alexandria.

Structure (POSCAR):
```
Pm5Nd6Tm
1.0
12.005 -1.471 0.000
1.858 6.053 0.000
0.929 3.027 5.483
Pm Nd Tm
5 6 1
Cartesian
6.931 2.291 0.000 Pm
7.861 5.318 1.826 Pm
6.931 2.291 3.657 Pm
1.858 6.053 3.655 Pm
0.929 3.027 1.828 Pm
4.379 4.182 1.820 Nd
3.452 1.144 0.000 Nd
10.411 3.438 0.000 Nd
10.413 3.426 3.663 Nd
5.308 7.209 3.663 Nd
9.484 0.400 1.820 Nd
0.000 0.000 0.000 Tm
```

Properties
Space group = C2/m
Final energy = -0.1736 Ha/atom
Energy relative to the elements = 0.01 eV per atom